[1]
The following is a DFT calculation (PBE) of Ba3NaSm2Se6 after structural relaxation.

It has space group C2/m (No. 12), with a = 7.683 Å, b = 13.302 Å, c = 7.776 Å, α = 90.00°, β = 109.14° and γ = 90.00°. The asymmetric unit holds Ba at (0.000, 0.000, 0.000), Ba at (0.000, 0.337, 0.000), Na at (0.000, 0.500, 0.500), Sm at (0.000, 0.167, 0.500), Se at (0.229, 0.000, 0.717) and Se at (0.246, 0.328, 0.722).

For the energy, the calculation gives -4.98 eV per atom. The total magnetization is 0.00 μB per formula unit. The crystal system is monoclinic. The value obtained for the calculated volume is 750.7 Å³ per cell. The calculation puts the uncorrected formation energy at -1856 meV per atom.

***

[2]
The following is a DFT calculation (PBE) of Pa2Co2Pd after structural relaxation.

It has space group P4/mbm (No. 127), with a = 7.165 Å, b = 7.165 Å, c = 3.454 Å, α = 90.00°, β = 90.00° and γ = 90.00°. The asymmetric unit holds Pa at (0.174, 0.326, 0.000), Co at (0.131, 0.631, 0.500) and Pd at (0.000, 0.000, 0.500).

For the energy, the calculation gives -8.20 eV per atom. The total magnetization is 0.00 μB per formula unit. The crystal system is tetragonal. The value obtained for the calculated volume is 177.3 Å³ per cell. The calculation puts the energy of formation at -518 meV per atom.

***

[3]
The following is a DFT calculation (PBE) of Si2P3Pt2 after structural relaxation.

It has space group Pbam (No. 55), with a = 6.133 Å, b = 11.154 Å, c = 3.408 Å, α = 90.00°, β = 90.00° and γ = 90.00°. The asymmetric unit holds Si at (0.127, 0.142, 0.000), P at (0.000, 0.000, 0.500), P at (0.010, 0.596, 0.000) and Pt at (0.182, 0.316, 0.500).

For the energy, the calculation gives -5.67 eV per atom. The total magnetization is 0.00 μB per formula unit. The crystal system is orthorhombic. The value obtained for the calculated volume is 233.2 Å³ per cell. The calculation puts the uncorrected formation energy at -77 meV per atom.